[1]
DFT (PBE) results for a relaxed structure of CaY2Ag.

Values from the calculation:
- Formation energy from the elements: 0.56 eV per formula unit
- E above lowest polymorph: 253 meV per atom
- Symmetry: F-43m, No. 216
- ρ: 4.66 Mg/m³

Cell lengths 5.474, 5.474, 5.474 Å; angles 60.00, 60.00, 60.00 degrees
Positions (direct):
Ca 0.000 0.000 0.000
Y 0.250 0.250 0.250
Y 0.500 0.500 0.500
Ag 0.750 0.750 0.750

=====

[2]
DFT (PBE) results for a relaxed structure of Ca2YAg3.

Values from the calculation:
- Formation energy from the elements: -1.89 eV per formula unit
- E above lowest polymorph: 4 meV per atom
- Symmetry: Cmmm, No. 65
- ρ: 5.45 Mg/m³

Cell lengths 8.270, 8.270, 3.676 Å; angles 90.00, 90.00, 143.35 degrees
Positions (direct):
Ca 0.167 0.833 0.000
Ca 0.833 0.167 0.000
Y 0.500 0.500 0.000
Ag 0.000 0.000 0.500
Ag 0.342 0.658 0.500
Ag 0.658 0.342 0.500

=====

[3]
DFT (PBE) results for a relaxed structure of CaY2Ag2.

Values from the calculation:
- Formation energy from the elements: -0.71 eV per formula unit
- E above lowest polymorph: 82 meV per atom
- Symmetry: P4/mbm, No. 127
- ρ: 5.44 Mg/m³

Cell lengths 8.775, 8.775, 3.437 Å; angles 90.00, 90.00, 90.00 degrees
Positions (direct):
Ca 0.000 0.000 0.000
Ca 0.500 0.500 0.000
Y 0.138 0.362 0.000
Y 0.362 0.862 0.000
Y 0.638 0.138 0.000
Y 0.862 0.638 0.000
Ag 0.158 0.658 0.500
Ag 0.342 0.158 0.500
Ag 0.658 0.842 0.500
Ag 0.842 0.342 0.500

=====

[4]
DFT (PBE) results for a relaxed structure of CaYAg4.

Values from the calculation:
- Formation energy from the elements: -1.22 eV per formula unit
- E above lowest polymorph: 71 meV per atom
- Symmetry: F-43m, No. 216
- ρ: 6.97 Mg/m³

Cell lengths 5.738, 5.738, 5.738 Å; angles 60.00, 60.00, 60.00 degrees
Positions (direct):
Ca 0.000 0.000 0.000
Y 0.250 0.250 0.250
Ag 0.125 0.625 0.625
Ag 0.625 0.125 0.625
Ag 0.625 0.625 0.125
Ag 0.625 0.625 0.625

=====

[5]
DFT (PBE) results for a relaxed structure of CaYAg.

Values from the calculation:
- Formation energy from the elements: -0.50 eV per formula unit
- E above lowest polymorph: 0 meV per atom
- Symmetry: I4mm, No. 107
- ρ: 4.52 Mg/m³

Cell lengths 7.044, 7.044, 7.044 Å; angles 150.01, 150.01, 42.93 degrees
Positions (direct):
Ca 0.000 0.000 0.000
Y 0.280 0.280 0.000
Ag 0.651 0.651 0.000

=====

[6]
DFT (PBE) results for a relaxed structure of CaYAg.

Values from the calculation:
- Formation energy from the elements: 0.02 eV per formula unit
- E above lowest polymorph: 174 meV per atom
- Symmetry: F-43m, No. 216
- ρ: 4.19 Mg/m³

Cell lengths 5.099, 5.099, 5.099 Å; angles 60.00, 60.00, 60.00 degrees
Positions (direct):
Ca 0.000 0.000 0.000
Y 0.500 0.500 0.500
Ag 0.250 0.250 0.250

=====

[7]
DFT (PBE) results for a relaxed structure of Ca2YAg9.

Values from the calculation:
- Formation energy from the elements: -2.17 eV per formula unit
- Symmetry: R-3m, No. 166
- ρ: 7.28 Mg/m³

Cell lengths 9.943, 9.943, 9.943 Å; angles 33.03, 33.03, 33.03 degrees
Positions (direct):
Ca 0.140 0.140 0.140
Ca 0.860 0.860 0.860
Y 0.000 0.000 0.000
Ag 0.081 0.584 0.584
Ag 0.333 0.333 0.333
Ag 0.416 0.416 0.919
Ag 0.416 0.919 0.416
Ag 0.500 0.500 0.500
Ag 0.584 0.081 0.584
Ag 0.584 0.584 0.081
Ag 0.667 0.667 0.667
Ag 0.919 0.416 0.416

=====

[8]
DFT (PBE) results for a relaxed structure of CaY2Ag.

Values from the calculation:
- Formation energy from the elements: 0.34 eV per formula unit
- E above lowest polymorph: 199 meV per atom
- Symmetry: I4/mmm, No. 139
- ρ: 4.63 Mg/m³

Cell lengths 6.321, 6.321, 6.321 Å; angles 136.82, 136.82, 62.72 degrees
Positions (direct):
Ca 0.000 0.000 0.000
Y 0.250 0.750 0.500
Y 0.750 0.250 0.500
Ag 0.500 0.500 0.000